Compound: Pr2MgNi
Source: the Alexandria database
Functional: GGA-PBE
Structure: relaxed

```
data_Pr2MgNi
_chemical_formula_sum 'Pr6 Mg3 Ni3'
_space_group_name_H-M_alt 'R -3 m'
_space_group_IT_number 166
_space_group_name_Hall '-R 3 2"'
_cell_length_a 3.7418
_cell_length_b 3.7418
_cell_length_c 31.3376
_cell_angle_alpha 90.00
_cell_angle_beta 90.00
_cell_angle_gamma 120.00
loop_
_atom_site_label
_atom_site_type_symbol
_atom_site_fract_x
_atom_site_fract_y
_atom_site_fract_z
_atom_site_occupancy
Pr1 Pr 0.0000 0.0000 0.1108 1
Mg1 Mg 0.0000 0.0000 0.0000 1
Ni1 Ni 0.0000 0.0000 0.5000 1
```

Summary:
energy above the lowest structure with this stoichiometry: 286 meV per atom
formation energy: 0.58 eV per formula unit


Compound: CuOsCl2
Source: the Alexandria database
Functional: GGA-PBE
Structure: relaxed

```
data_CuOsCl2
_chemical_formula_sum 'Cu2 Os2 Cl4'
_space_group_name_H-M_alt 'C m m 2'
_space_group_IT_number 35
_cell_length_a 2.9393
_cell_length_b 5.4367
_cell_length_c 9.2649
_cell_angle_alpha 90.00
_cell_angle_beta 90.00
_cell_angle_gamma 90.00
loop_
_space_group_symop_operation_xyz
'x,y,z'
'-x,-y,z'
'-x,y,z'
'x,-y,z'
'x+1/2,y+1/2,z'
'-x+1/2,-y+1/2,z'
'-x+1/2,y+1/2,z'
'x+1/2,-y+1/2,z'
loop_
_atom_site_label
_atom_site_type_symbol
_atom_site_fract_x
_atom_site_fract_y
_atom_site_fract_z
_atom_site_occupancy
Cu1 Cu 0.0000 0.0000 0.0000 1
Os1 Os 0.0000 0.5000 0.2249 1
Cl1 Cl 0.0000 0.0000 0.4259 1
Cl2 Cl 0.0000 0.5000 0.8145 1
```

Summary:
energy above the lowest structure with this stoichiometry: 173 meV per atom
formation energy without anion corrections: 1.6 eV/f.u.


Compound: CaNiB2Rh
Source: the Alexandria database
Functional: GGA-PBE
Structure: relaxed

```
data_CaNiB2Rh
_chemical_formula_sum 'Ca2 Ni2 B4 Rh2'
_space_group_name_H-M_alt 'I -4 m 2'
_space_group_IT_number 119
_space_group_name_Hall 'I -4 -2'
_cell_length_a 3.6681
_cell_length_b 3.6681
_cell_length_c 10.0616
_cell_angle_alpha 90.00
_cell_angle_beta 90.00
_cell_angle_gamma 90.00
loop_
_atom_site_label
_atom_site_type_symbol
_atom_site_fract_x
_atom_site_fract_y
_atom_site_fract_z
_atom_site_occupancy
Ca1 Ca 0.0000 0.0000 0.0000 1
Ni1 Ni 0.0000 0.5000 0.7500 1
B1 B 0.0000 0.0000 0.3484 1
Rh1 Rh 0.0000 0.5000 0.2500 1
```

Summary:
formation energy: -1.96 eV per formula unit


| no. | E (eV for the cell shown) |
| --- | --- |
| 1 | -49.1 |
| 2 | -34.9 |
| 3 | -60.9 |